(1)
Here is TbSm2ErBi4 after structural relaxation from Alexandria via LeMat-Bulk. Energies are from GGA-PBE.

The density of states at the Fermi level comes out at 1.2 states/eV per cell. Its formation energy is -0.884 eV per atom. For the spin magnetization, the calculation gives 0.000 μB/atom.

abc: 7.817 4.517 7.819
angles: 90.00 109.48 90.00
Space group P2/m (No. 10)
Symmetry-distinct sites (fractional):
Tb1 0.000 0.000 0.000 [1 per cell]
Sm1 0.500 0.000 0.500 [1 per cell]
Sm2 0.500 0.500 0.000 [1 per cell]
Er1 0.000 0.500 0.500 [1 per cell]
Bi1 0.243 0.000 0.746 [2 per cell]
Bi2 0.244 0.500 0.250 [2 per cell]

---

(2)
Here is TbCe2Os after structural relaxation from Alexandria via LeMat-Bulk. Energies are from GGA-PBE.

The density of states at the Fermi level comes out at 30.6 states/eV per cell. Its formation energy is -0.144 eV per atom. For the spin magnetization, the calculation gives 0.000 μB/atom.

abc: 3.809 11.400 9.545
angles: 90.00 90.00 90.00
Space group Cmcm (No. 63)
Symmetry-distinct sites (fractional):
Tb1 0.000 0.077 0.250 [4 per cell]
Ce1 0.000 0.359 0.060 [8 per cell]
Os1 0.000 0.211 0.750 [4 per cell]

---

(3)
Here is Hg2WAu after structural relaxation from Alexandria via LeMat-Bulk. Energies are from GGA-PBE.

The density of states at the Fermi level comes out at 4.8 states/eV per cell. Its formation energy is 0.489 eV per atom. For the spin magnetization, the calculation gives 0.000 μB/atom.

abc: 4.099 4.109 9.228
angles: 90.00 90.00 90.00
Space group Cmm2 (No. 35)
Symmetry-distinct sites (fractional):
Hg1 0.000 0.000 0.000 [2 per cell]
Hg2 0.000 0.500 0.285 [2 per cell]
W1 0.000 0.500 0.761 [2 per cell]
Au1 0.000 0.000 0.546 [2 per cell]

---

(4)
Here is KCo2Ir after structural relaxation from Alexandria via LeMat-Bulk. Energies are from GGA-PBE.

The density of states at the Fermi level comes out at 7.8 states/eV per cell. Its formation energy is 0.818 eV per atom. For the spin magnetization, the calculation gives 0.934 μB/atom.

abc: 2.601 5.051 10.102
angles: 90.00 90.00 90.00
Space group Imm2 (No. 44)
Symmetry-distinct sites (fractional):
K1 0.000 0.000 0.000 [2 per cell]
Co1 0.000 0.000 0.489 [2 per cell]
Co2 0.000 0.500 0.789 [2 per cell]
Ir1 0.000 0.500 0.204 [2 per cell]

---

(5)
Here is TmPd2Au2 after structural relaxation from Alexandria via LeMat-Bulk. Energies are from GGA-PBE.

The density of states at the Fermi level comes out at 5.8 states/eV per cell. Its formation energy is -0.376 eV per atom. For the spin magnetization, the calculation gives 0.000 μB/atom.

abc: 4.5750 4.5750 10.6898
angles: 90.00 90.00 120.00
Space group P6_3/mmc (No. 194)
Symmetry-distinct sites (fractional):
Tm1 0.0000 0.0000 0.2500 [2 per cell]
Pd1 0.0000 0.0000 0.0000 [2 per cell]
Pd2 0.3333 0.6667 0.2500 [2 per cell]
Au1 0.3333 0.6667 0.6028 [4 per cell]

---

(6)
Here is NaYFeMo2 after structural relaxation from Alexandria via LeMat-Bulk. Energies are from GGA-PBE.

The density of states at the Fermi level comes out at 7.4 states/eV per cell. Its formation energy is 1.940 eV per atom. For the spin magnetization, the calculation gives 0.959 μB/atom.

abc: 4.765 4.765 4.497
angles: 90.00 90.00 90.00
Space group P4/mmm (No. 123)
Symmetry-distinct sites (fractional):
Na1 0.000 0.000 0.000 [1 per cell]
Y1 0.500 0.500 0.500 [1 per cell]
Fe1 0.000 0.000 0.500 [1 per cell]
Mo1 0.000 0.500 0.000 [2 per cell]

---

(7)
Here is Ce4HN3 after structural relaxation from Alexandria via LeMat-Bulk. Energies are from GGA-PBE.

The density of states at the Fermi level comes out at 8.8 states/eV per cell. For the spin magnetization, the calculation gives 0.406 μB/atom. The calculation puts the energy at -7.66 eV/atom.

abc: 5.042 5.042 5.042
angles: 90.00 90.00 90.00
Space group Pm-3m (No. 221)
Symmetry-distinct sites (fractional):
Ce1 0.000 0.000 0.000 [1 per cell]
Ce2 0.000 0.500 0.500 [3 per cell]
H1 0.500 0.500 0.500 [1 per cell]
N1 0.000 0.000 0.500 [3 per cell]

---

(8)
Here is LiLaPd2 after structural relaxation from Alexandria via LeMat-Bulk. Energies are from GGA-PBE.

The density of states at the Fermi level comes out at 2.6 states/eV per cell. Its formation energy is -0.528 eV per atom. For the spin magnetization, the calculation gives 0.000 μB/atom.

abc: 5.749 7.708 3.878
angles: 90.00 90.00 90.00
Space group Cmmm (No. 65)
Symmetry-distinct sites (fractional):
Li1 0.000 0.000 0.000 [2 per cell]
La1 0.000 0.500 0.500 [2 per cell]
Pd1 0.250 0.250 0.000 [4 per cell]

---

(9)
Here is Cs12Zn5Pb3 after structural relaxation from Alexandria via LeMat-Bulk. Energies are from GGA-PBE.

The density of states at the Fermi level comes out at 101.2 states/eV per cell. Its formation energy is 0.205 eV per atom. For the spin magnetization, the calculation gives 0.040 μB/atom.

abc: 22.555 22.555 22.555
angles: 90.00 90.00 90.00
Space group Ia-3d (No. 230)
Symmetry-distinct sites (fractional):
Cs1 0.019 0.074 0.654 [96 per cell]
Zn1 0.000 0.000 0.000 [16 per cell]
Zn2 0.000 0.250 0.375 [24 per cell]
Pb1 0.000 0.250 0.125 [24 per cell]

---

(10)
Here is InTe2Cl after structural relaxation from Alexandria via LeMat-Bulk. Energies are from GGA-PBE.

The density of states at the Fermi level comes out at 4.9 states/eV per cell. The uncorrected formation energy is -0.5 eV per formula unit. For the spin magnetization, the calculation gives 0.000 μB/atom.

abc: 5.845 13.673 3.130
angles: 90.00 90.47 90.00
Space group C2/m (No. 12)
Symmetry-distinct sites (fractional):
In1 0.000 0.000 0.000 [2 per cell]
Te1 0.250 0.250 0.500 [4 per cell]
Cl1 0.000 0.500 0.000 [2 per cell]

---

(11)
Here is LiTlNiPb2 after structural relaxation from Alexandria via LeMat-Bulk. Energies are from GGA-PBE.

The density of states at the Fermi level comes out at 2.9 states/eV per cell. Its formation energy is 0.034 eV per atom. For the spin magnetization, the calculation gives 0.000 μB/atom.

abc: 5.089 5.089 4.997
angles: 90.00 90.00 90.00
Space group P4/mmm (No. 123)
Symmetry-distinct sites (fractional):
Li1 0.000 0.000 0.000 [1 per cell]
Tl1 0.500 0.500 0.000 [1 per cell]
Ni1 0.000 0.000 0.500 [1 per cell]
Pb1 0.000 0.500 0.500 [2 per cell]

---

(12)
Here is CsBTeI2 after structural relaxation from Alexandria via LeMat-Bulk. Energies are from GGA-PBE.

The density of states at the Fermi level comes out at 3.7 states/eV per cell. The uncorrected formation energy is 0.4 eV per formula unit. For the spin magnetization, the calculation gives 0.000 μB/atom.

abc: 6.310 6.310 4.511
angles: 90.00 90.00 90.00
Space group P4/mmm (No. 123)
Symmetry-distinct sites (fractional):
Cs1 0.000 0.000 0.000 [1 per cell]
B1 0.500 0.500 0.500 [1 per cell]
Te1 0.500 0.500 0.000 [1 per cell]
I1 0.000 0.500 0.500 [2 per cell]